The following is a DFT calculation (PBE-GGA) of an optimized crystal structure of MgZnCrPt.

Calculated values
Its formation enthalpy at 0 K is -0.2575 eV per atom. As for the volume: 15.19 Å³ per atom.

Cell: 6.2412 6.2412 6.2412 Å, 90.00 90.00 90.00°
Last column: nearest neighbours and their distance in Å.
Space group F-43m (No. 216)
Inequivalent atoms, fractional coordinates:
Mg (0.0000, 0.0000, 0.0000) (multiplicity 4)  4 Cr 2.70, 4 Pt 2.70
Zn (0.0000, 0.0000, 0.5000) (multiplicity 4)  4 Cr 2.70, 4 Pt 2.70
Cr (0.2500, 0.2500, 0.7500) (multiplicity 4)  4 Mg 2.70, 4 Zn 2.70
Pt (0.2500, 0.2500, 0.2500) (multiplicity 4)  4 Mg 2.70, 4 Zn 2.70